# 1
Computed, not measured: ReNiCl2 after structural relaxation at the GGA-PBEsol level of DFT.

Unit cell a=4.418 b=4.418 c=4.418 alpha=60.00 beta=60.00 gamma=60.00
Site moments in Bohr magnetons follow the coordinates.
Fractional positions:
Ni: 0.500 0.500 0.500  0.31
Cl: 0.750 0.750 0.750  0.14
Cl: 0.000 0.000 0.000  0.01
Re: 0.250 0.250 0.250  2.16

Calculated values
The calculation puts the energy above the most stable polymorph in this dataset at 972 meV/atom. The calculation puts the uncorrected formation energy at 5.02 eV/f.u. The calculation puts the volume at 61 Å³/cell.

---

# 2
Computed, not measured: Rb2IN after structural relaxation at the GGA-PBEsol level of DFT.

Unit cell a=5.775 b=5.775 c=5.775 alpha=60.00 beta=60.00 gamma=60.00
Site moments in Bohr magnetons follow the coordinates.
Fractional positions:
N: 0.000 0.000 0.000  1.23
Rb: 0.250 0.250 0.250  0.00
I: 0.500 0.500 0.500  0.04
Rb: 0.750 0.750 0.750  0.00

Calculated values
The calculation puts the uncorrected formation energy at 0.62 eV/f.u. The calculation puts the volume at 136 Å³/cell.

---

# 3
Computed, not measured: Nb2BiPPb after structural relaxation at the GGA-PBEsol level of DFT.

Unit cell a=4.716 b=4.716 c=5.368 alpha=90.00 beta=90.00 gamma=90.00
Fractional positions:
Nb: 0.000 0.500 0.000
Pb: 0.000 0.000 0.500
Bi: 0.500 0.500 0.500
P: 0.000 0.000 0.000
Nb: 0.500 0.000 0.000

Calculated values
Its energy of formation from the pure elements is 254 kJ/mol of formula units. The calculation puts the volume at 119 Å³/cell.

---

# 4
Computed, not measured: ZnSnRh2 after structural relaxation at the GGA-PBEsol level of DFT.

Unit cell a=4.364 b=4.364 c=4.364 alpha=60.00 beta=60.00 gamma=60.00
Fractional positions:
Zn: 0.000 0.000 0.000
Sn: 0.500 0.500 0.500
Rh: 0.750 0.750 0.750
Rh: 0.250 0.250 0.250

Calculated values
Its energy of formation from the pure elements is -189 kJ/mol of formula units. The calculation puts the volume at 59 Å³/cell.

---

# 5
Computed, not measured: MgScMn2 after structural relaxation at the GGA-PBEsol level of DFT.

Unit cell a=3.062 b=4.462 c=5.166 alpha=115.58 beta=107.24 gamma=90.00
Site moments in Bohr magnetons follow the coordinates.
Fractional positions:
Mn: 0.035 0.035 0.071  -0.05
Sc: 0.487 0.487 0.973  0.00
Mn: 0.709 0.209 0.417  0.05
Mg: 0.269 0.769 0.539  0.00

Calculated values
Its energy of formation from the pure elements is 84 kJ/mol of formula units. The calculation puts the volume at 60 Å³/cell.

---

# 6
Computed, not measured: TaSbPOs2 after structural relaxation at the GGA-PBEsol level of DFT.

Unit cell a=4.606 b=4.795 c=4.795 alpha=90.00 beta=90.00 gamma=90.00
Fractional positions:
Os: 0.000 0.000 0.500
Ta: 0.000 0.000 0.000
Os: 0.000 0.500 0.000
Sb: 0.500 0.500 0.500
P: 0.500 0.000 0.000

Calculated values
The calculation puts the uncorrected formation energy at 8.06 eV/f.u. The calculation puts the volume at 106 Å³/cell.

---

# 7
Computed, not measured: HgTe2NO after structural relaxation at the GGA-PBEsol level of DFT.

Unit cell a=3.928 b=5.678 c=5.678 alpha=90.00 beta=90.00 gamma=90.00
Site moments in Bohr magnetons follow the coordinates.
Fractional positions:
Te: 0.000 0.500 0.000  0.19
Te: 0.000 0.000 0.500  0.19
N: 0.500 0.000 0.000  0.86
O: 0.500 0.500 0.500  1.21
Hg: 0.000 0.000 0.000  0.06

Calculated values
The calculation puts the uncorrected formation energy at 8.47 eV/f.u. The calculation puts the volume at 127 Å³/cell.

---

# 8
Computed, not measured: PtBr3 after structural relaxation at the GGA-PBEsol level of DFT.

Unit cell a=3.683 b=5.265 c=6.116 alpha=115.49 beta=107.52 gamma=90.00
Fractional positions:
Br: 0.340 0.840 0.680
Pt: 0.000 0.000 0.000
Br: 0.660 0.160 0.320
Br: 0.000 0.500 0.000

Calculated values
The calculation puts the uncorrected formation energy at -0.77 eV/f.u. The calculation puts the volume at 101 Å³/cell.

---

# 9
Computed, not measured: RbLaF4 after structural relaxation at the GGA-PBEsol level of DFT.

Unit cell a=3.824 b=6.405 c=16.048 alpha=90.00 beta=90.00 gamma=90.00
Fractional positions:
La: 0.750 0.748 0.558
F: 0.250 0.608 0.631
Rb: 0.250 0.722 0.799
F: 0.250 0.597 0.189
La: 0.250 0.752 0.058
La: 0.750 0.248 0.942
F: 0.250 0.634 0.463
Rb: 0.750 0.778 0.299
Rb: 0.250 0.222 0.701
F: 0.750 0.500 0.056
Rb: 0.750 0.278 0.201
F: 0.250 0.108 0.869
F: 0.750 0.392 0.369
F: 0.250 0.134 0.037
F: 0.750 0.000 0.444
La: 0.250 0.252 0.442
F: 0.750 0.403 0.811
F: 0.750 0.892 0.131
F: 0.250 0.500 0.944
F: 0.250 0.000 0.556
F: 0.750 0.903 0.689
F: 0.750 0.866 0.963
F: 0.750 0.366 0.537
F: 0.250 0.097 0.311

Calculated values
The calculation puts the uncorrected formation energy at -22.44 eV/f.u. The calculation puts the volume at 393 Å³/cell.

---

# 10
Computed, not measured: SrTaIr3 after structural relaxation at the GGA-PBEsol level of DFT.

Unit cell a=4.715 b=4.715 c=4.715 alpha=90.00 beta=90.00 gamma=90.00
Fractional positions:
Sr: 0.000 0.000 0.000
Ir: 0.000 0.500 0.000
Ir: 0.000 0.000 0.500
Ta: 0.500 0.500 0.500
Ir: 0.500 0.000 0.000

Calculated values
The calculation puts the energy above the most stable polymorph in this dataset at 2172 meV/atom. Its energy of formation from the pure elements is 1388 kJ/mol of formula units. The calculation puts the volume at 105 Å³/cell.

---

# 11
Computed, not measured: Sc2InH after structural relaxation at the GGA-PBEsol level of DFT.

Unit cell a=3.242 b=3.242 c=8.517 alpha=79.03 beta=79.03 gamma=60.00
Fractional positions:
H: 0.500 0.500 0.500
In: 0.000 0.000 0.000
Sc: 0.881 0.881 0.357
Sc: 0.119 0.119 0.643

Calculated values
As for the total energy: -4.9997 eV per atom. The calculation puts the volume at 76 Å³/cell.

---

# 12
Computed, not measured: MoW7 after structural relaxation at the GGA-PBEsol level of DFT.

Unit cell a=6.301 b=6.301 c=6.301 alpha=90.00 beta=90.00 gamma=90.00
Fractional positions:
W: 0.375 0.875 0.375
W: 0.625 0.625 0.625
W: 0.875 0.875 0.375
W: 0.625 0.125 0.125
Mo: 0.125 0.125 0.125
W: 0.375 0.375 0.875
W: 0.625 0.125 0.625
W: 0.625 0.625 0.125
Mo: 0.875 0.875 0.875
W: 0.125 0.625 0.125
W: 0.875 0.375 0.375
W: 0.375 0.375 0.375
W: 0.125 0.125 0.625
W: 0.125 0.625 0.625
W: 0.375 0.875 0.875
W: 0.875 0.375 0.875

Calculated values
Its energy of formation from the pure elements is 3 kJ/mol of formula units. The calculation puts the volume at 250 Å³/cell.

---

# 13
Computed, not measured: Te2PAu after structural relaxation at the GGA-PBEsol level of DFT.

Unit cell a=3.000 b=5.570 c=5.570 alpha=90.00 beta=89.83 gamma=89.83
Fractional positions:
Au: 0.000 0.000 0.000
P: 0.000 0.500 0.500
Te: 0.000 0.000 0.500
Te: 0.000 0.500 0.000

Calculated values
The calculation puts the uncorrected formation energy at 0.63 eV/f.u. The calculation puts the volume at 93 Å³/cell.

---

Number 1: total magnetic moment 2.96 μB per formula unit. Number 2: total magnetic moment 2.00 μB per formula unit. Number 3: total magnetic moment 0.00 μB per formula unit. Number 4: total magnetic moment 0.00 μB per formula unit. Number 5: total magnetic moment 0.01 μB per formula unit. Number 6: total magnetic moment 0.00 μB per formula unit. Number 7: total magnetic moment 3.32 μB per formula unit. Number 8: total magnetic moment 0.00 μB per formula unit. Number 9: total magnetic moment 0.06 μB per formula unit. Number 10: total magnetic moment 0.00 μB per formula unit. Number 11: total magnetic moment 0.00 μB per formula unit. Number 12: total magnetic moment 0.00 μB per formula unit. Number 13: total magnetic moment 0.00 μB per formula unit.